VASP calculation (PBE) on a relaxed structure of CsTl2CdBi.

Results
The symmetry is P4/mmm (123). For the electronic total energy, the calculation gives -2.030 eV/atom. As for the crystal system: tetragonal. Its energy above the most stable polymorph in this dataset is 0.182 eV per atom. The value obtained for the density of states at the Fermi level is 0.611 states/eV/atom. The formation energy from the elements is 0.05 eV per atom.

Cell lengths 5.9492, 5.9492, 5.9309 Å; angles 90.00, 90.00, 90.00 degrees
With the nearest neighbours (Å) after each atom.
Fractional positions:
Cs1 0.0000 0.0000 0.0000  8 Tl 4.20, 4 Bi 4.21
Tl1 0.0000 0.5000 0.5000  2 Cd 2.97
Tl2 0.5000 0.0000 0.5000  2 Cd 2.97
Cd1 0.5000 0.5000 0.5000  2 Bi 2.97, 4 Tl 2.97
Bi1 0.5000 0.5000 0.0000  2 Cd 2.97

=====

VASP calculation (PBE) on a relaxed structure of Cs2Tl3Cd4Bi.

Results
The symmetry is P-4m2 (115). For the electronic total energy, the calculation gives -1.722 eV/atom. As for the crystal system: tetragonal. The value obtained for the density of states at the Fermi level is 0.681 states/eV/atom. The formation energy from the elements is -0.09 eV per atom.

Cell lengths 5.2590, 5.2590, 12.9622 Å; angles 90.00, 90.00, 90.00 degrees
With the nearest neighbours (Å) after each atom.
Fractional positions:
Cs1 0.0000 0.5000 0.2480  8 Cd 4.02-4.15, 6 Tl 4.05-4.19, 2 Bi 4.19
Cs2 0.5000 0.0000 0.7520  8 Cd 4.02-4.15, 6 Tl 4.05-4.19, 2 Bi 4.19
Tl1 0.0000 0.5000 0.8763  5 Cd 3.08-3.13
Tl2 0.5000 0.0000 0.1237  5 Cd 3.08-3.13
Tl3 0.5000 0.5000 0.5000  4 Cd 3.16
Cd1 0.0000 0.0000 0.0000  4 Tl 3.08
Cd2 0.0000 0.5000 0.6350  3 Tl 3.13-3.16, 2 Bi 3.16
Cd3 0.5000 0.0000 0.3650  3 Tl 3.13-3.16, 2 Bi 3.16
Cd4 0.5000 0.5000 0.0000  4 Tl 3.08
Bi1 0.0000 0.0000 0.5000  4 Cd 3.16

=====

VASP calculation (PBE) on a relaxed structure of CsZnCd2Bi.

Results
The symmetry is P4/mmm (123). For the electronic total energy, the calculation gives -1.508 eV/atom. As for the crystal system: tetragonal. The value obtained for the density of states at the Fermi level is 0.452 states/eV/atom. The formation energy from the elements is 0.06 eV per atom.

Cell lengths 5.5075, 5.5075, 5.6344 Å; angles 90.00, 90.00, 90.00 degrees
With the nearest neighbours (Å) after each atom.
Fractional positions:
Cs1 0.0000 0.0000 0.0000  4 Bi 3.89, 8 Cd 3.94
Zn1 0.5000 0.5000 0.5000  4 Cd 2.75, 2 Bi 2.82
Cd1 0.0000 0.5000 0.5000  2 Zn 2.75
Cd2 0.5000 0.0000 0.5000  2 Zn 2.75
Bi1 0.5000 0.5000 0.0000  2 Zn 2.82

=====

VASP calculation (PBE) on a relaxed structure of Cs2ZnCdBi2.

Results
The symmetry is Ibam (72). For the electronic total energy, the calculation gives -2.232 eV/atom. As for the crystal system: orthorhombic. The value obtained for the density of states at the Fermi level is 0.209 states/eV/atom. The formation energy from the elements is -0.29 eV per atom.

Cell lengths 10.4170, 10.4170, 10.4170 Å; angles 139.64, 58.31, 139.76 degrees
With the nearest neighbours (Å) after each atom.
Fractional positions:
Cs1 0.1667 0.2431 0.4098  4 Bi 3.79-3.93, 2 Cd 3.93, 2 Zn 3.98
Cs2 0.3333 0.7431 0.0763  4 Bi 3.79-3.93, 2 Cd 3.93, 2 Zn 3.98
Cs3 0.6667 0.2569 0.9237  4 Bi 3.79-3.93, 2 Cd 3.93, 2 Zn 3.98
Cs4 0.8333 0.7569 0.5902  4 Bi 3.79-3.93, 2 Cd 3.93, 2 Zn 3.98
Zn1 0.2500 0.7500 0.5000  4 Bi 2.94
Zn2 0.7500 0.2500 0.5000  4 Bi 2.94
Cd1 0.2500 0.2500 0.0000  4 Bi 3.10
Cd2 0.7500 0.7500 0.0000  4 Bi 3.10
Bi1 0.0898 0.7324 0.8222  2 Zn 2.94, 2 Cd 3.10
Bi2 0.4102 0.2324 0.6426  2 Zn 2.94, 2 Cd 3.10
Bi3 0.5898 0.7676 0.3574  2 Zn 2.94, 2 Cd 3.10
Bi4 0.9102 0.2676 0.1778  2 Zn 2.94, 2 Cd 3.10